(1)
A plane-wave DFT calculation with PBE-GGA was carried out for a relaxed structure of BTe2Ir.

Cell: 5.812 5.812 10.392 Å, 90.00 90.00 90.00°
Space group I-42d (No. 122)
Inequivalent atoms, fractional coordinates:
B 0.000 0.000 0.000 [4 per cell]
Te 0.215 0.250 0.125 [8 per cell]
Ir 0.000 0.000 0.500 [4 per cell]

## Properties
Energy ... -80.240 eV/cell



(2)
A plane-wave DFT calculation with PBE-GGA was carried out for a relaxed structure of Sr2ZrCu.

Cell: 7.997 7.997 7.997 Å, 90.00 90.00 90.00°
Space group Fm-3m (No. 225)
Inequivalent atoms, fractional coordinates:
Sr 0.250 0.250 0.250 [8 per cell]
Zr 0.000 0.000 0.000 [4 per cell]
Cu 0.000 0.000 0.500 [4 per cell]

## Properties
DFT formation energy ... 698 meV/atom
Energy ... -52.864 eV/cell
Polymorph energy (0 for the lowest one) ... 501 meV/atom



(3)
A plane-wave DFT calculation with PBE-GGA was carried out for a relaxed structure of CuRe2Mo.

Cell: 2.774 2.774 7.634 Å, 90.00 90.00 90.00°
Space group P4mm (No. 99)
Inequivalent atoms, fractional coordinates:
Cu 0.000 0.000 0.000 [1 per cell]
Re 0.000 0.000 0.515 [1 per cell]
Re 0.500 0.500 0.755 [1 per cell]
Mo 0.500 0.500 0.247 [1 per cell]

## Properties
DFT formation energy ... 257 meV/atom
Energy ... -38.796 eV/cell
Polymorph energy (0 for the lowest one) ... 82 meV/atom